Li2VO2F: relaxed, PBE+U.

## Properties
- Energy above the most stable polymorph in this dataset: 98 meV/atom
- VASP energy: -147.175 eV per cell
- Magnetization: 2.00 μB/f.u.
- ρ: 3.325 g/cm3

Cell lengths 3.0127, 8.9331, 9.1184 Å; angles 70.53, 89.66, 89.94 degrees
Closest atoms and distances in Å follow each position.
Fractional coordinates of all 24 atoms:
Li 0.0000 0.0000 0.0000  3 F 2.02-2.16, 1 O 2.11
Li 0.9998 0.4863 0.1947  3 F 2.05-2.17, 3 O 2.11-2.29
Li 0.0027 0.0189 0.6946  1 O 1.87, 2 F 2.07-2.08
Li 0.4990 0.7428 0.2351  3 F 1.96, 1 O 2.13
Li 0.5011 0.2472 0.7290  2 O 1.94
Li 0.5039 0.7444 0.9406  3 F 1.99-2.08, 2 O 2.15-2.22
Li 0.5046 0.2353 0.4690  2 O 1.92
Li 0.9985 0.4611 0.5124  1 O 1.87
V 0.0069 0.4896 0.8502  6 O 2.03-2.11
V 0.4885 0.7430 0.6181  4 O 1.95-2.02
V 0.4977 0.2437 0.0954  6 O 2.04-2.12
V 0.9981 0.0006 0.3436  5 O 2.00-2.08, 1 F 2.20
O 0.0005 0.2495 0.9424  3 V 2.03-2.04, 1 Li 2.11
O 0.0008 0.7400 0.7613  3 V 1.95-2.11
O 0.0028 0.2397 0.5976  6 Li 1.87-1.94
O 0.4971 0.9731 0.4979  3 V 1.98-2.02
O 0.4973 0.9929 0.1910  3 V 2.06-2.12, 3 Li 2.13-2.29
O 0.4998 0.4894 0.0053  3 V 2.06-2.08, 3 Li 2.15-2.29
O 0.5132 0.5084 0.6906  3 V 1.98-2.07
O 0.9949 0.2372 0.2493  3 V 2.00-2.05, 1 Li 2.11
F 0.0006 0.7437 0.0975  6 Li 1.96-2.17
F 0.4984 0.5124 0.3379  5 Li 1.96-2.13
F 0.5019 0.9805 0.8589  5 Li 1.99-2.08
F 0.9923 0.7402 0.4437  3 V 2.19-2.20, 3 Li 2.36-2.43